1.
The following is a GGA-PBE calculation of a geometry-optimized PmMg3Au3 structure, from Alexandria via LeMat-Bulk.

Calculated values
DFT total energy   -40.34 eV per cell
V   375.9 Å³/cell

a b c (Å): 7.2170 7.2170 7.2170
angles (deg): 90.00 90.00 90.00
Closest atoms and distances in Å follow each position.
Space group Pm-3n (No. 223)
Inequivalent atoms, fractional coordinates:
Pm 0.0000 0.0000 0.0000 [2 per cell]  12 Mg 4.03, 12 Au 4.03
Mg 0.0000 0.2500 0.5000 [6 per cell]  4 Au 2.55
Au 0.0000 0.5000 0.2500 [6 per cell]  4 Mg 2.55

=====

2.
The following is a GGA-PBE calculation of a geometry-optimized Na2AcTl3 structure, from Alexandria via LeMat-Bulk.

Calculated values
DFT total energy   -29.70 eV per cell
V   372.0 Å³/cell

a b c (Å): 5.4219 5.4219 14.6122
angles (deg): 90.00 90.00 120.00
Closest atoms and distances in Å follow each position.
Space group P6_3/mmc (No. 194)
Inequivalent atoms, fractional coordinates:
Na 0.3333 0.6667 0.0830 [4 per cell]  7 Tl 3.23-3.36
Ac 0.0000 0.0000 0.2500 [2 per cell]  8 Tl 3.53-3.65
Tl 0.0000 0.0000 0.0000 [2 per cell]  6 Na 3.36, 2 Ac 3.65, 6 Tl 3.73
Tl 0.3333 0.6667 0.6385 [4 per cell]  4 Na 3.23-3.24, 1 Tl 3.26, 3 Ac 3.53

=====

3.
The following is a GGA-PBE calculation of a geometry-optimized Pm2Ho3Er6 structure, from Alexandria via LeMat-Bulk.

Calculated values
DFT total energy   -95.16 eV per cell
V   729.1 Å³/cell

a b c (Å): 4.7028 4.7028 32.9653
angles (deg): 90.00 90.00 90.00
Closest atoms and distances in Å follow each position.
Space group I4/mmm (No. 139)
Inequivalent atoms, fractional coordinates:
Pm 0.0000 0.0000 0.0461 [4 per cell]  1 Pm 3.04
Ho 0.0000 0.0000 0.2987 [4 per cell]  9 Er 3.33-3.51
Ho 0.0000 0.0000 0.5000 [2 per cell]  8 Pm 3.66
Er 0.0000 0.0000 0.1953 [4 per cell]  5 Ho 3.33-3.41, 4 Er 3.37
Er 0.0000 0.5000 0.1221 [8 per cell]  6 Er 3.33-3.37, 2 Pm 3.44, 2 Ho 3.51

=====

4.
The following is a GGA-PBE calculation of a geometry-optimized Be3Au4 structure, from Alexandria via LeMat-Bulk.

Calculated values
DFT total energy   -49.38 eV per cell
V   202.4 Å³/cell

a b c (Å): 11.4352 3.8466 4.9483
angles (deg): 90.00 111.58 90.00
Closest atoms and distances in Å follow each position.
Space group C2/m (No. 12)
Inequivalent atoms, fractional coordinates:
Be 0.0000 0.0000 0.0000 [2 per cell]  2 Be 2.39, 6 Au 2.41-2.42
Be 0.2162 0.0000 0.3154 [4 per cell]  3 Be 2.39-2.57, 7 Au 2.41-2.65
Au 0.0764 0.5000 0.3100 [4 per cell]  5 Be 2.41-2.49
Au 0.1609 0.0000 0.7915 [4 per cell]  5 Be 2.42-2.65

=====

5.
The following is a GGA-PBE calculation of a geometry-optimized AcSmCdRu structure, from Alexandria via LeMat-Bulk.

Calculated values
DFT total energy   -77.59 eV per cell
V   423.2 Å³/cell

a b c (Å): 7.5080 7.5080 7.5080
angles (deg): 90.00 90.00 90.00
Closest atoms and distances in Å follow each position.
Space group F-43m (No. 216)
Inequivalent atoms, fractional coordinates:
Ac 0.0000 0.0000 0.0000 [4 per cell]  4 Cd 3.25, 4 Ru 3.25
Sm 0.0000 0.0000 0.5000 [4 per cell]  4 Cd 3.25, 4 Ru 3.25
Cd 0.2500 0.2500 0.2500 [4 per cell]  4 Sm 3.25, 4 Ac 3.25
Ru 0.2500 0.2500 0.7500 [4 per cell]  4 Ac 3.25, 4 Sm 3.25

=====

6.
The following is a GGA-PBE calculation of a geometry-optimized Cu2TcBr structure, from Alexandria via LeMat-Bulk.

Calculated values
Raw formation energy   0.74 eV per atom
DFT total energy   -34.54 eV per cell
V   121.6 Å³/cell

a b c (Å): 5.1432 8.4306 2.8052
angles (deg): 90.00 90.00 90.00
Closest atoms and distances in Å follow each position.
Space group Cmmm (No. 65)
Inequivalent atoms, fractional coordinates:
Cu 0.2500 0.2500 0.0000 [4 per cell]  4 Cu 2.57-2.81, 4 Tc 2.84, 4 Br 2.84
Tc 0.0000 0.0000 0.5000 [2 per cell]  2 Br 2.57, 2 Tc 2.81, 8 Cu 2.84
Br 0.0000 0.5000 0.5000 [2 per cell]  2 Tc 2.57, 2 Br 2.81, 8 Cu 2.84

=====

7.
The following is a GGA-PBE calculation of a geometry-optimized Ce3ErSc2As6 structure, from Alexandria via LeMat-Bulk.

Calculated values
DFT total energy   -159.65 eV per cell
V   578.0 Å³/cell

a b c (Å): 7.0925 12.2841 7.0438
angles (deg): 90.00 109.65 90.00
Closest atoms and distances in Å follow each position.
Space group C2/m (No. 12)
Inequivalent atoms, fractional coordinates:
Ce 0.0000 0.0000 0.0000 [2 per cell]  6 As 2.92-2.96
Ce 0.0000 0.3351 0.0000 [4 per cell]  6 As 2.92-2.96
Er 0.0000 0.5000 0.5000 [2 per cell]  6 As 2.87
Sc 0.0000 0.1673 0.5000 [4 per cell]  6 As 2.81-2.82
As 0.2376 0.0000 0.7332 [4 per cell]  2 Sc 2.81, 1 Er 2.87, 3 Ce 2.92-2.96
As 0.2485 0.3301 0.7356 [8 per cell]  2 Sc 2.81-2.82, 1 Er 2.87, 3 Ce 2.92-2.96

=====

8.
The following is a GGA-PBE calculation of a geometry-optimized YGa6Cu6 structure, from Alexandria via LeMat-Bulk.

Calculated values
DFT total energy   -106.08 eV per cell
V   385.6 Å³/cell

a b c (Å): 5.1716 8.5549 8.7150
angles (deg): 90.00 90.00 90.00
Closest atoms and distances in Å follow each position.
Space group Immm (No. 71)
Inequivalent atoms, fractional coordinates:
Y 0.0000 0.0000 0.0000 [2 per cell]  8 Ga 2.97-3.09, 12 Cu 3.26-3.32
Ga 0.0000 0.0000 0.3482 [4 per cell]  6 Cu 2.64, 3 Ga 2.65-2.91
Ga 0.0000 0.3467 0.0000 [4 per cell]  1 Ga 2.62, 6 Cu 2.67-2.76
Ga 0.0000 0.5000 0.3059 [4 per cell]  6 Cu 2.55-2.61
Cu 0.0000 0.2673 0.5000 [4 per cell]  4 Cu 2.54, 6 Ga 2.61-2.76
Cu 0.2500 0.2500 0.2500 [8 per cell]  4 Cu 2.54-2.59, 6 Ga 2.55-2.67

=====

9.
The following is a GGA-PBE calculation of a geometry-optimized ErCdAgPb structure, from Alexandria via LeMat-Bulk.

Calculated values
DFT total energy   -51.17 eV per cell
V   382.8 Å³/cell

a b c (Å): 7.2611 7.2611 7.2611
angles (deg): 90.00 90.00 90.00
Closest atoms and distances in Å follow each position.
Space group F-43m (No. 216)
Inequivalent atoms, fractional coordinates:
Er 0.0000 0.0000 0.0000 [4 per cell]  4 Pb 3.14, 4 Ag 3.14
Cd 0.0000 0.0000 0.5000 [4 per cell]  4 Ag 3.14, 4 Pb 3.14
Ag 0.2500 0.2500 0.2500 [4 per cell]  4 Er 3.14, 4 Cd 3.14
Pb 0.2500 0.2500 0.7500 [4 per cell]  4 Cd 3.14, 4 Er 3.14

=====

10.
The following is a GGA-PBE calculation of a geometry-optimized Na2InGe3Pd4 structure, from Alexandria via LeMat-Bulk.

Calculated values
DFT total energy   -43.89 eV per cell
V   198.4 Å³/cell

a b c (Å): 4.2899 4.2899 10.7789
angles (deg): 90.00 90.00 90.00
Closest atoms and distances in Å follow each position.
Space group P-4m2 (No. 115)
Inequivalent atoms, fractional coordinates:
Na 0.0000 0.5000 0.2395 [2 per cell]  8 Pd 3.26-3.36, 6 Ge 3.28-3.53, 2 In 3.53
In 0.0000 0.0000 0.5000 [1 per cell]  4 Pd 2.69
Ge 0.0000 0.5000 0.8770 [2 per cell]  5 Pd 2.45-2.52
Ge 0.5000 0.5000 0.5000 [1 per cell]  4 Pd 2.69
Pd 0.0000 0.0000 0.0000 [1 per cell]  4 Ge 2.52
Pd 0.0000 0.5000 0.6500 [2 per cell]  3 Ge 2.45-2.69, 2 In 2.69
Pd 0.5000 0.5000 0.0000 [1 per cell]  4 Ge 2.52

=====

11.
The following is a GGA-PBE calculation of a geometry-optimized Pu6P5H structure, from Alexandria via LeMat-Bulk.

Calculated values
DFT total energy   -255.82 eV per cell
V   523.1 Å³/cell

a b c (Å): 6.8284 11.8510 6.8618
angles (deg): 90.00 109.61 90.00
Closest atoms and distances in Å follow each position.
Space group C2/m (No. 12)
Inequivalent atoms, fractional coordinates:
Pu 0.2399 0.0000 0.2516 [4 per cell]  1 H 2.73, 5 P 2.81-2.86
Pu 0.2412 0.1608 0.7430 [8 per cell]  1 H 2.70, 5 P 2.79-2.82
P 0.0000 0.1745 0.0000 [4 per cell]  6 Pu 2.79-2.84
P 0.0000 0.3344 0.5000 [4 per cell]  6 Pu 2.81
P 0.0000 0.5000 0.0000 [2 per cell]  6 Pu 2.79-2.86
H 0.0000 0.0000 0.5000 [2 per cell]  6 Pu 2.70-2.73

=====

12.
The following is a GGA-PBE calculation of a geometry-optimized BaRhN3 structure, from Alexandria via LeMat-Bulk.

Calculated values
Raw formation energy   0.71 eV per atom
DFT total energy   -30.68 eV per cell
V   67.8 Å³/cell

a b c (Å): 4.0779 4.0779 4.0779
angles (deg): 90.00 90.00 90.00
Closest atoms and distances in Å follow each position.
Space group Pm-3m (No. 221)
Inequivalent atoms, fractional coordinates:
Ba 0.0000 0.0000 0.0000 [1 per cell]  12 N 2.88
Rh 0.5000 0.5000 0.5000 [1 per cell]  6 N 2.04
N 0.0000 0.5000 0.5000 [3 per cell]  2 Rh 2.04

=====

13.
The following is a GGA-PBE calculation of a geometry-optimized YSc2S structure, from Alexandria via LeMat-Bulk.

Calculated values
Raw formation energy   -0.24 eV per atom
DFT total energy   -72.66 eV per cell
V   339.3 Å³/cell

a b c (Å): 3.5976 3.5976 30.2708
angles (deg): 90.00 90.00 120.00
Closest atoms and distances in Å follow each position.
Space group R-3m (No. 166, hexagonal axes)
Inequivalent atoms, fractional coordinates:
Y 0.0000 0.0000 0.0000 [3 per cell]  6 Sc 3.42, 6 Y 3.60
Sc 0.0000 0.0000 0.4231 [6 per cell]  1 S 2.33
S 0.0000 0.0000 0.5000 [3 per cell]  2 Sc 2.33